Dy3Ho6Tm2Th | GGA-PBE | optimized geometry

Cell lengths 6.1090, 6.1090, 11.7048 Å; angles 95.00, 95.00, 119.98 degrees
With the nearest neighbours (Å) after each atom.
Element x y z (fractional)
Dy1 0.1673 0.8327 0.5000  6 Dy 3.52-3.54, 6 Ho 3.54
Dy2 0.8327 0.1673 0.5000  6 Dy 3.52-3.54, 6 Ho 3.54
Dy3 0.5000 0.5000 0.5000  6 Dy 3.52-3.53, 6 Ho 3.53-3.55
Ho1 0.9169 0.5863 0.7511  6 Ho 3.50-3.54, 1 Th 3.51, 2 Tm 3.52, 3 Dy 3.53-3.54
Ho2 0.7527 0.7527 0.2487  6 Ho 3.50-3.54, 1 Th 3.51, 2 Tm 3.52, 3 Dy 3.54-3.55
Ho3 0.0831 0.4137 0.2489  6 Ho 3.50-3.54, 1 Th 3.51, 2 Tm 3.52, 3 Dy 3.53-3.54
Ho4 0.5863 0.9169 0.7511  6 Ho 3.50-3.54, 1 Th 3.51, 2 Tm 3.52, 3 Dy 3.53-3.54
Ho5 0.2473 0.2473 0.7513  6 Ho 3.50-3.54, 1 Th 3.51, 2 Tm 3.52, 3 Dy 3.54-3.55
Ho6 0.4137 0.0831 0.2489  6 Ho 3.50-3.54, 1 Th 3.51, 2 Tm 3.52, 3 Dy 3.53-3.54
Tm1 0.3332 0.6668 0.0000  6 Ho 3.52, 3 Th 3.53, 3 Tm 3.53
Tm2 0.6668 0.3332 0.0000  6 Ho 3.52, 3 Th 3.53, 3 Tm 3.53
Th1 0.0000 0.0000 0.0000  6 Ho 3.51, 6 Tm 3.53

Final energy: -57.4 eV/f.u.
DFT formation energy: 0.0224 eV/atom
Spin magnetization: 0.00 μB/f.u.